[1]
A plane-wave DFT calculation with GGA-PBEsol was carried out for a relaxed Cs2MgH12Se2O14 crystal.

Geometry as POSCAR:
```
Cs2MgH12Se2O14
1.0
6.4476 0.0000 0.0000
0.0000 12.8656 0.0000
-2.5430 0.0000 9.0554
Cs Mg H Se O
4 2 24 4 28
Cartesian
0.0791 1.9279 3.3215 Cs
-1.1924 4.5048 7.8491 Cs
5.0970 8.3607 1.2062 Cs
3.8255 10.9376 5.7339 Cs
3.2238 0.0000 0.0000 Mg
1.9523 6.4328 4.5277 Mg
-0.4686 7.2018 5.4462 H
0.8029 12.0965 0.9185 H
-0.8456 1.2161 7.1947 H
0.4259 5.2167 2.6670 H
-0.0281 8.2098 4.3095 H
-1.2996 11.0885 8.8372 H
0.6990 1.6689 6.9343 H
1.9704 4.7639 2.4066 H
2.1488 7.6330 2.0440 H
0.8774 11.6653 6.5717 H
2.2564 8.7836 3.1441 H
0.9849 10.5147 7.6718 H
2.9197 2.3508 1.3836 H
1.6482 4.0819 5.9113 H
3.0272 1.2003 2.4837 H
1.7557 5.2325 7.0114 H
1.9342 8.1016 6.6488 H
3.2056 11.1967 2.1211 H
5.2041 1.7771 0.2182 H
3.9327 4.6557 4.7459 H
3.4787 7.6488 6.3884 H
4.7502 11.6495 1.8607 H
3.1017 0.7691 8.1369 H
4.3732 5.6637 3.6092 H
-0.7373 8.2859 8.1268 Se
0.5342 11.0124 3.5991 Se
3.3704 1.8532 5.4563 Se
4.6419 4.5796 0.9286 Se
-1.3535 7.3760 6.8647 O
-0.0821 11.9223 2.3370 O
-1.7572 9.5828 8.3526 O
-0.4857 9.7155 3.8249 O
0.0870 7.2632 4.6173 O
1.3585 12.0351 0.0896 O
1.8205 7.3275 0.4283 O
0.5490 11.9708 4.9560 O
0.0379 1.3975 7.6304 O
1.3093 5.0353 3.1027 O
0.8023 8.8321 7.7580 O
2.0738 10.4662 3.2303 O
2.7537 1.3739 1.5360 O
1.4822 5.0589 6.0637 O
2.4224 7.8066 2.9917 O
1.1509 11.4917 7.5194 O
1.8308 2.3993 5.8251 O
3.1023 4.0334 1.2974 O
2.5952 7.8302 5.9527 O
3.8667 11.4681 1.4250 O
3.3556 0.8948 4.0993 O
2.0841 5.5380 8.6270 O
2.5461 0.8304 8.9658 O
3.8175 5.6024 4.4381 O
4.3903 3.1501 5.2305 O
5.6618 3.2827 0.7028 O
3.9867 0.9433 6.7184 O
5.2581 5.4895 2.1907 O
```

Space-group type: P2_1/c
V in Å³/atom: 12.12
Raw total energy in eV per atom: -5.252

[2]
A plane-wave DFT calculation with GGA-PBEsol was carried out for a relaxed CsMn3H crystal.

Geometry as POSCAR:
```
CsMn3H
1.0
4.1954 0.0000 0.0000
0.0000 4.1954 0.0000
0.0000 0.0000 4.1954
Cs Mn H
1 3 1
Cartesian
0.0000 0.0000 0.0000 Cs
0.0000 2.0977 2.0977 Mn
2.0977 0.0000 2.0977 Mn
2.0977 2.0977 0.0000 Mn
2.0977 2.0977 2.0977 H
```

Space-group type: Pm-3m
V in Å³/atom: 14.77
Raw total energy in eV per atom: -5.433

[3]
A plane-wave DFT calculation with GGA-PBEsol was carried out for a relaxed CsMnP3HO10 crystal.

Geometry as POSCAR:
```
CsMnP3HO10
1.0
4.5054 -4.3112 0.0000
4.5054 4.3112 0.0000
-2.5885 0.0000 5.9988
Cs Mn P H O
1 1 3 1 10
Cartesian
0.0000 0.0000 0.0000 Cs
3.2112 -1.4502 2.9994 Mn
1.3386 1.0052 3.6399 P
5.0838 1.0052 2.3589 P
4.5054 -0.5998 0.0000 P
3.2112 2.1666 2.9994 H
2.3597 2.1234 3.8503 O
4.0626 2.1234 2.1486 O
1.0187 0.4025 5.1097 O
1.8553 -0.1298 2.7481 O
3.5508 -1.3675 0.8643 O
5.4036 0.4025 0.8891 O
4.5670 -0.1298 3.2508 O
1.9283 -2.8643 2.8845 O
2.8716 -1.3675 5.1345 O
4.4940 -2.8643 3.1143 O
```

Space-group type: C2
V in Å³/atom: 14.56
Raw total energy in eV per atom: -7.302

[4]
A plane-wave DFT calculation with GGA-PBEsol was carried out for a relaxed Cs3MoH crystal.

Geometry as POSCAR:
```
Cs3MoH
1.0
5.9950 0.0000 0.0000
0.0000 5.9950 0.0000
0.0000 0.0000 5.9950
Cs Mo H
3 1 1
Cartesian
0.0000 0.0000 2.9975 Cs
0.0000 2.9975 0.0000 Cs
2.9975 0.0000 0.0000 Cs
2.9975 2.9975 2.9975 Mo
0.0000 0.0000 0.0000 H
```

Space-group type: Pm-3m
V in Å³/atom: 43.09
Raw total energy in eV per atom: -2.592

[5]
A plane-wave DFT calculation with GGA-PBEsol was carried out for a relaxed CsMoP2HO9 crystal.

Geometry as POSCAR:
```
CsMoP2HO9
1.0
6.2847 0.0000 0.0000
0.0000 14.0058 0.0000
-1.8083 0.0000 9.8618
Cs Mo P H O
4 4 8 4 36
Cartesian
0.5817 2.2697 3.5708 Cs
-0.3224 4.7333 8.5017 Cs
4.7989 9.2726 1.3601 Cs
3.8947 11.7362 6.2911 Cs
0.5398 0.6321 7.1606 Mo
1.4440 6.3708 2.2297 Mo
3.0325 7.6350 7.6322 Mo
3.9366 13.3737 2.7012 Mo
-0.1027 8.3476 6.9357 P
0.8014 12.6611 2.0048 P
1.6021 8.8150 4.6805 P
0.6980 12.1938 9.6114 P
3.7785 1.8120 0.2504 P
2.8743 5.1909 5.1813 P
3.6750 1.3447 7.8571 P
4.5791 5.6582 2.9262 P
0.2676 10.2364 8.6274 H
1.1718 10.7724 3.6965 H
3.3046 3.2335 6.1654 H
4.2088 3.7694 1.2344 H
-1.3530 0.4650 7.7345 O
-0.4489 6.5379 2.8036 O
-0.2602 9.7561 7.4296 O
0.6440 11.2527 2.4987 O
0.1963 8.3599 5.3611 O
1.1004 12.6488 0.4302 O
1.3272 7.2274 0.7712 O
0.4230 13.7813 5.7021 O
0.4017 2.2520 6.6469 O
1.3058 4.7510 1.7160 O
1.5876 8.2200 3.2903 O
0.6834 12.7888 8.2212 O
1.5720 10.3631 4.6007 O
0.6678 10.6456 9.5316 O
1.0374 7.5522 7.6096 O
1.9415 13.4565 2.6787 O
0.8543 1.3853 9.1874 O
1.7584 5.6176 4.2565 O
2.7180 8.3883 5.6054 O
3.6221 12.6205 0.6745 O
2.5349 0.5493 7.1832 O
3.4391 6.4536 2.2523 O
3.8086 3.3602 0.3303 O
2.9044 3.6427 5.2612 O
3.7930 1.2170 1.6406 O
2.8889 5.7859 6.5715 O
3.1706 9.2549 8.1458 O
4.0747 11.7539 3.2149 O
4.0534 0.2245 4.1598 O
3.1492 6.7784 9.0907 O
3.3760 1.3570 9.4317 O
4.2802 5.6459 4.5007 O
3.8325 2.7532 7.3632 O
4.7366 4.2498 2.4322 O
4.9253 7.4679 7.0582 O
5.8295 13.5408 2.1273 O
```

Space-group type: P2_1/c
V in Å³/atom: 15.50
Raw total energy in eV per atom: -7.420

[6]
A plane-wave DFT calculation with GGA-PBEsol was carried out for a relaxed CsH2N crystal.

Geometry as POSCAR:
```
CsH2N
1.0
4.1536 0.0000 0.0000
1.4323 4.2178 0.0000
1.5424 0.4768 4.2093
Cs H N
1 2 1
Cartesian
0.0000 0.0000 0.0000 Cs
2.8710 2.1202 1.9844 H
4.3854 2.5211 2.3740 H
3.6255 1.8733 2.6503 N
```

Space-group type: P1
V in Å³/atom: 18.44
Raw total energy in eV per atom: -4.392

[7]
A plane-wave DFT calculation with GGA-PBEsol was carried out for a relaxed CsNaH2 crystal.

Geometry as POSCAR:
```
CsNaH2
1.0
-3.3602 3.3602 3.9331
3.3602 -3.3602 3.9331
3.3602 3.3602 -3.9331
Cs Na H
2 2 4
Cartesian
0.0000 0.0000 0.0000 Cs
0.0000 3.3602 1.9665 Cs
3.3602 0.0000 1.9665 Na
0.0000 0.0000 3.9331 Na
1.6801 -1.0674 2.9498 H
2.2929 1.6801 0.9833 H
1.6801 4.4276 -0.9833 H
1.0674 1.6801 4.9164 H
```

Space-group type: I-42d
V in Å³/atom: 22.20
Raw total energy in eV per atom: -2.375

[8]
A plane-wave DFT calculation with GGA-PBEsol was carried out for a relaxed Cs3NiH crystal.

Geometry as POSCAR:
```
Cs3NiH
1.0
6.1219 0.0000 0.0000
0.0000 6.1219 0.0000
0.0000 0.0000 6.1219
Cs Ni H
3 1 1
Cartesian
0.0000 0.0000 3.0609 Cs
0.0000 3.0609 0.0000 Cs
3.0609 0.0000 0.0000 Cs
0.0000 0.0000 0.0000 Ni
3.0609 3.0609 3.0609 H
```

Space-group type: Pm-3m
V in Å³/atom: 45.89
Raw total energy in eV per atom: -1.921